1.
MgSiNi6: optimized geometry, PBE.

Cell and atoms, written as CIF:
```
data_MgSiNi6
_chemical_formula_sum 'Mg8 Si8 Ni48'
_cell_length_a 7.116
_cell_length_b 10.142
_cell_length_c 10.123
_cell_angle_alpha 90.00
_cell_angle_beta 90.00
_cell_angle_gamma 90.00
_space_group_name_H-M_alt 'C m m m'
_space_group_IT_number 65
_space_group_name_Hall '-C 2 2'
loop_
_atom_site_label
_atom_site_fract_x
_atom_site_fract_y
_atom_site_fract_z
Mg1 0.000 0.000 0.250
Mg2 0.000 0.242 0.000
Si1 0.000 0.238 0.500
Si2 0.000 0.500 0.249
Ni1 0.000 0.000 0.000
Ni2 0.000 0.000 0.500
Ni3 0.000 0.252 0.260
Ni4 0.000 0.500 0.000
Ni5 0.000 0.500 0.500
Ni6 0.238 0.377 0.131
Ni7 0.240 0.373 0.380
```

---

2.
MgSi2Ni: optimized geometry, PBE.

Cell and atoms, written as CIF:
```
data_MgSi2Ni
_chemical_formula_sum 'Mg3 Si6 Ni3'
_cell_length_a 2.9875
_cell_length_b 2.9875
_cell_length_c 23.1344
_cell_angle_alpha 90.00
_cell_angle_beta 90.00
_cell_angle_gamma 120.00
_space_group_name_H-M_alt 'R 3 m'
_space_group_IT_number 160
_space_group_name_Hall 'R 3 -2"'
loop_
_atom_site_label
_atom_site_fract_x
_atom_site_fract_y
_atom_site_fract_z
Mg1 0.0000 0.0000 0.0000
Si1 0.0000 0.0000 0.5099
Si2 0.0000 0.0000 0.7635
Ni1 0.0000 0.0000 0.2439
```

---

3.
Mg3Si2Ni6: optimized geometry, PBE.

Cell and atoms, written as CIF:
```
data_Mg3Si2Ni6
_chemical_formula_sum 'Mg12 Si8 Ni24'
_cell_length_a 8.453
_cell_length_b 8.453
_cell_length_c 8.453
_cell_angle_alpha 90.00
_cell_angle_beta 90.00
_cell_angle_gamma 90.00
_space_group_name_H-M_alt 'I m -3 m'
_space_group_IT_number 229
_space_group_name_Hall '-I 4 2 3'
loop_
_atom_site_label
_atom_site_fract_x
_atom_site_fract_y
_atom_site_fract_z
Mg1 0.000 0.000 0.292
Si1 0.250 0.250 0.250
Ni1 0.000 0.326 0.326
```

---

4.
Mg2Si2Ni: optimized geometry, PBE.

Cell and atoms, written as CIF:
```
data_Mg2Si2Ni
_chemical_formula_sum 'Mg4 Si4 Ni2'
_cell_length_a 6.042
_cell_length_b 6.042
_cell_length_c 4.356
_cell_angle_alpha 90.00
_cell_angle_beta 90.00
_cell_angle_gamma 90.00
_space_group_name_H-M_alt 'P 4/m b m'
_space_group_IT_number 127
_space_group_name_Hall '-P 4 2ab'
loop_
_atom_site_label
_atom_site_fract_x
_atom_site_fract_y
_atom_site_fract_z
Mg1 0.175 0.325 0.000
Si1 0.141 0.641 0.500
Ni1 0.000 0.000 0.500
```

---

5.
Mg3Si2Ni: optimized geometry, PBE.

Cell and atoms, written as CIF:
```
data_Mg3Si2Ni
_chemical_formula_sum 'Mg9 Si6 Ni3'
_cell_length_a 5.8128
_cell_length_b 5.8128
_cell_length_c 11.0408
_cell_angle_alpha 90.00
_cell_angle_beta 90.00
_cell_angle_gamma 120.00
_space_group_name_H-M_alt 'R -3 m'
_space_group_IT_number 166
_space_group_name_Hall '-R 3 2"'
loop_
_atom_site_label
_atom_site_fract_x
_atom_site_fract_y
_atom_site_fract_z
Mg1 0.0000 0.5000 0.0000
Si1 0.0000 0.0000 0.1099
Ni1 0.0000 0.0000 0.5000
```

---

6.
Mg6SiNi: optimized geometry, PBE.

Cell and atoms, written as CIF:
```
data_Mg6SiNi
_chemical_formula_sum 'Mg12 Si2 Ni2'
_cell_length_a 4.739
_cell_length_b 6.249
_cell_length_c 10.164
_cell_angle_alpha 90.00
_cell_angle_beta 90.00
_cell_angle_gamma 90.00
_space_group_name_H-M_alt 'A m m 2'
_space_group_IT_number 38
loop_
_space_group_symop_operation_xyz
'x,y,z'
'-x,-y,z'
'-x,y,z'
'x,-y,z'
'x,y+1/2,z+1/2'
'-x,-y+1/2,z+1/2'
'-x,y+1/2,z+1/2'
'x,-y+1/2,z+1/2'
loop_
_atom_site_label
_atom_site_fract_x
_atom_site_fract_y
_atom_site_fract_z
Mg1 0.000 0.000 0.000
Mg2 0.000 0.000 0.496
Mg3 0.000 0.242 0.259
Mg4 0.500 0.248 0.579
Si1 0.500 0.000 0.834
Ni1 0.500 0.000 0.335
```

---

7.
MgSiNi2: optimized geometry, PBE.

Cell and atoms, written as CIF:
```
data_MgSiNi2
_chemical_formula_sum 'Mg2 Si2 Ni4'
_cell_length_a 3.159
_cell_length_b 3.853
_cell_length_c 8.262
_cell_angle_alpha 90.00
_cell_angle_beta 90.00
_cell_angle_gamma 90.00
_space_group_name_H-M_alt 'I m m 2'
_space_group_IT_number 44
loop_
_space_group_symop_operation_xyz
'x,y,z'
'-x,-y,z'
'-x,y,z'
'x,-y,z'
'x+1/2,y+1/2,z+1/2'
'-x+1/2,-y+1/2,z+1/2'
'-x+1/2,y+1/2,z+1/2'
'x+1/2,-y+1/2,z+1/2'
loop_
_atom_site_label
_atom_site_fract_x
_atom_site_fract_y
_atom_site_fract_z
Mg1 0.000 0.000 0.000
Si1 0.000 0.500 0.234
Ni1 0.000 0.000 0.525
Ni2 0.000 0.500 0.762
```

---

8.
Mg5SiNi6: optimized geometry, PBE.

Cell and atoms, written as CIF:
```
data_Mg5SiNi6
_chemical_formula_sum 'Mg10 Si2 Ni12'
_cell_length_a 13.426
_cell_length_b 6.000
_cell_length_c 4.255
_cell_angle_alpha 90.00
_cell_angle_beta 108.04
_cell_angle_gamma 90.00
_space_group_name_H-M_alt 'C 1 2/m 1'
_space_group_IT_number 12
loop_
_space_group_symop_operation_xyz
'x,y,z'
'-x,-y,-z'
'-x,y,-z'
'x,-y,z'
'x+1/2,y+1/2,z'
'-x+1/2,-y+1/2,-z'
'-x+1/2,y+1/2,-z'
'x+1/2,-y+1/2,z'
loop_
_atom_site_label
_atom_site_fract_x
_atom_site_fract_y
_atom_site_fract_z
Mg1 0.000 0.000 0.000
Mg2 0.163 0.000 0.664
Mg3 0.181 0.500 0.683
Si1 0.000 0.500 0.000
Ni1 0.000 0.286 0.500
Ni2 0.151 0.274 0.153
```

---

9.
Mg2Si6Ni21: optimized geometry, PBE.

Cell and atoms, written as CIF:
```
data_Mg2Si6Ni21
_chemical_formula_sum 'Mg8 Si24 Ni84'
_cell_length_a 11.185
_cell_length_b 11.185
_cell_length_c 11.185
_cell_angle_alpha 90.00
_cell_angle_beta 90.00
_cell_angle_gamma 90.00
_space_group_name_H-M_alt 'F m -3 m'
_space_group_IT_number 225
_space_group_name_Hall '-F 4 2 3'
loop_
_atom_site_label
_atom_site_fract_x
_atom_site_fract_y
_atom_site_fract_z
Mg1 0.250 0.250 0.250
Si1 0.000 0.000 0.231
Ni1 0.000 0.000 0.500
Ni2 0.000 0.174 0.326
Ni3 0.119 0.119 0.119
```

---

10.
MgSiNi2: optimized geometry, PBE.

Cell and atoms, written as CIF:
```
data_MgSiNi2
_chemical_formula_sum 'Mg4 Si4 Ni8'
_cell_length_a 5.872
_cell_length_b 5.872
_cell_length_c 5.872
_cell_angle_alpha 90.00
_cell_angle_beta 90.00
_cell_angle_gamma 90.00
_space_group_name_H-M_alt 'F -4 3 m'
_space_group_IT_number 216
_space_group_name_Hall 'F -4 2 3'
loop_
_atom_site_label
_atom_site_fract_x
_atom_site_fract_y
_atom_site_fract_z
Mg1 0.000 0.000 0.000
Si1 0.250 0.250 0.750
Ni1 0.000 0.000 0.500
Ni2 0.250 0.250 0.250
```

---

11.
Mg6SiNi6: optimized geometry, PBE.

Cell and atoms, written as CIF:
```
data_Mg6SiNi6
_chemical_formula_sum 'Mg12 Si2 Ni12'
_cell_length_a 5.494
_cell_length_b 9.715
_cell_length_c 7.513
_cell_angle_alpha 90.00
_cell_angle_beta 90.00
_cell_angle_gamma 90.00
_space_group_name_H-M_alt 'C m m m'
_space_group_IT_number 65
_space_group_name_Hall '-C 2 2'
loop_
_atom_site_label
_atom_site_fract_x
_atom_site_fract_y
_atom_site_fract_z
Mg1 0.000 0.000 0.179
Mg2 0.250 0.250 0.288
Si1 0.000 0.500 0.500
Ni1 0.000 0.113 0.500
Ni2 0.000 0.282 0.000
Ni3 0.000 0.500 0.190
```

Calculated values
ΔE to the lowest computed polymorph, eV/f.u.: 2.16

---

12.
MgSi2Ni: optimized geometry, PBE.

Cell and atoms, written as CIF:
```
data_MgSi2Ni
_chemical_formula_sum 'Mg1 Si2 Ni1'
_cell_length_a 3.052
_cell_length_b 4.022
_cell_length_c 4.857
_cell_angle_alpha 90.00
_cell_angle_beta 90.00
_cell_angle_gamma 90.00
_space_group_name_H-M_alt 'P m m m'
_space_group_IT_number 47
loop_
_space_group_symop_operation_xyz
'x,y,z'
'-x,-y,-z'
'-x,-y,z'
'x,y,-z'
'x,-y,-z'
'-x,y,z'
'-x,y,-z'
'x,-y,z'
loop_
_atom_site_label
_atom_site_fract_x
_atom_site_fract_y
_atom_site_fract_z
Mg1 0.000 0.000 0.000
Si1 0.500 0.500 0.251
Ni1 0.500 0.000 0.500
```

---

13.
MgSiNi2: optimized geometry, PBE.

Cell and atoms, written as CIF:
```
data_MgSiNi2
_chemical_formula_sum 'Mg2 Si2 Ni4'
_cell_length_a 3.557
_cell_length_b 3.557
_cell_length_c 8.837
_cell_angle_alpha 90.00
_cell_angle_beta 90.00
_cell_angle_gamma 90.00
_space_group_name_H-M_alt 'P 4/n m m'
_space_group_IT_number 129
loop_
_space_group_symop_operation_xyz
'x,y,z'
'-x,-y,-z'
'-y+1/2,x,z'
'y+1/2,-x,-z'
'-x+1/2,-y+1/2,z'
'x+1/2,y+1/2,-z'
'y,-x+1/2,z'
'-y,x+1/2,-z'
'x+1/2,-y,-z'
'-x+1/2,y,z'
'-y,-x,-z'
'y,x,z'
'-x,y+1/2,-z'
'x,-y+1/2,z'
'y+1/2,x+1/2,-z'
'-y+1/2,-x+1/2,z'
loop_
_atom_site_label
_atom_site_fract_x
_atom_site_fract_y
_atom_site_fract_z
Mg1 0.250 0.250 0.208
Si1 0.250 0.250 0.667
Ni1 0.250 0.250 0.918
Ni2 0.250 0.750 0.500
```

---

14.
MgSi2Ni: optimized geometry, PBE.

Cell and atoms, written as CIF:
```
data_MgSi2Ni
_chemical_formula_sum 'Mg2 Si4 Ni2'
_cell_length_a 7.506
_cell_length_b 2.983
_cell_length_c 5.697
_cell_angle_alpha 90.00
_cell_angle_beta 103.90
_cell_angle_gamma 90.00
_space_group_name_H-M_alt 'C 1 2/m 1'
_space_group_IT_number 12
loop_
_space_group_symop_operation_xyz
'x,y,z'
'-x,-y,-z'
'-x,y,-z'
'x,-y,z'
'x+1/2,y+1/2,z'
'-x+1/2,-y+1/2,-z'
'-x+1/2,y+1/2,-z'
'x+1/2,-y+1/2,z'
loop_
_atom_site_label
_atom_site_fract_x
_atom_site_fract_y
_atom_site_fract_z
Mg1 0.000 0.000 0.000
Si1 0.238 0.000 0.677
Ni1 0.000 0.500 0.500
```

---

15.
Mg2Si3Ni5: optimized geometry, PBE.

Cell and atoms, written as CIF:
```
data_Mg2Si3Ni5
_chemical_formula_sum 'Mg8 Si12 Ni20'
_cell_length_a 3.830
_cell_length_b 21.711
_cell_length_c 6.158
_cell_angle_alpha 90.00
_cell_angle_beta 90.00
_cell_angle_gamma 90.00
_space_group_name_H-M_alt 'C m c 21'
_space_group_IT_number 36
loop_
_space_group_symop_operation_xyz
'x,y,z'
'-x,-y,z+1/2'
'-x,y,z'
'x,-y,z+1/2'
'x+1/2,y+1/2,z'
'-x+1/2,-y+1/2,z+1/2'
'-x+1/2,y+1/2,z'
'x+1/2,-y+1/2,z+1/2'
loop_
_atom_site_label
_atom_site_fract_x
_atom_site_fract_y
_atom_site_fract_z
Mg1 0.000 0.021 0.000
Mg2 0.000 0.321 0.886
Si1 0.000 0.120 0.757
Si2 0.000 0.280 0.346
Si3 0.000 0.455 0.790
Ni1 0.000 0.098 0.377
Ni2 0.000 0.202 0.062
Ni3 0.000 0.219 0.644
Ni4 0.000 0.381 0.509
Ni5 0.000 0.441 0.158
```

---

16.
Mg6SiNi6: optimized geometry, PBE.

Cell and atoms, written as CIF:
```
data_Mg6SiNi6
_chemical_formula_sum 'Mg6 Si1 Ni6'
_cell_length_a 5.0625
_cell_length_b 5.0625
_cell_length_c 8.8065
_cell_angle_alpha 90.00
_cell_angle_beta 90.00
_cell_angle_gamma 120.00
_space_group_name_H-M_alt 'P 6/m m m'
_space_group_IT_number 191
_space_group_name_Hall '-P 6 2'
loop_
_atom_site_label
_atom_site_fract_x
_atom_site_fract_y
_atom_site_fract_z
Mg1 0.0000 0.0000 0.1788
Mg2 0.3333 0.6667 0.0000
Mg3 0.3333 0.6667 0.5000
Si1 0.0000 0.0000 0.5000
Ni1 0.0000 0.5000 0.2532
```

Calculated values
ΔE to the lowest computed polymorph, eV/f.u.: 0.00

---

17.
MgSi2Ni: optimized geometry, PBE.

Cell and atoms, written as CIF:
```
data_MgSi2Ni
_chemical_formula_sum 'Mg8 Si16 Ni8'
_cell_length_a 13.859
_cell_length_b 6.792
_cell_length_c 4.857
_cell_angle_alpha 90.00
_cell_angle_beta 90.00
_cell_angle_gamma 90.00
_space_group_name_H-M_alt 'P n m a'
_space_group_IT_number 62
loop_
_space_group_symop_operation_xyz
'x,y,z'
'-x,-y,-z'
'-x+1/2,-y,z+1/2'
'x+1/2,y,-z+1/2'
'x+1/2,-y+1/2,-z+1/2'
'-x+1/2,y+1/2,z+1/2'
'-x,y+1/2,-z'
'x,-y+1/2,z'
loop_
_atom_site_label
_atom_site_fract_x
_atom_site_fract_y
_atom_site_fract_z
Mg1 0.112 0.250 0.250
Mg2 0.142 0.750 0.028
Si1 0.033 0.050 0.750
Si2 0.215 0.549 0.529
Ni1 0.073 0.750 0.521
Ni2 0.173 0.250 0.761
```

---

18.
MgSi3Ni2: optimized geometry, PBE.

Cell and atoms, written as CIF:
```
data_MgSi3Ni2
_chemical_formula_sum 'Mg3 Si9 Ni6'
_cell_length_a 4.7942
_cell_length_b 4.7942
_cell_length_c 12.7716
_cell_angle_alpha 90.00
_cell_angle_beta 90.00
_cell_angle_gamma 120.00
_space_group_name_H-M_alt 'R -3 m'
_space_group_IT_number 166
_space_group_name_Hall '-R 3 2"'
loop_
_atom_site_label
_atom_site_fract_x
_atom_site_fract_y
_atom_site_fract_z
Mg1 0.0000 0.0000 0.0000
Si1 0.0000 0.5000 0.5000
Ni1 0.0000 0.0000 0.3740
```

Calculated values
ΔE to the lowest computed polymorph, eV/f.u.: 3.78

---

19.
MgSi2Ni: optimized geometry, PBE.

Cell and atoms, written as CIF:
```
data_MgSi2Ni
_chemical_formula_sum 'Mg3 Si6 Ni3'
_cell_length_a 2.9271
_cell_length_b 2.9271
_cell_length_c 23.7096
_cell_angle_alpha 90.00
_cell_angle_beta 90.00
_cell_angle_gamma 120.00
_space_group_name_H-M_alt 'R -3 m'
_space_group_IT_number 166
_space_group_name_Hall '-R 3 2"'
loop_
_atom_site_label
_atom_site_fract_x
_atom_site_fract_y
_atom_site_fract_z
Mg1 0.0000 0.0000 0.0000
Si1 0.0000 0.0000 0.2384
Ni1 0.0000 0.0000 0.5000
```

---

20.
MgSi2Ni: optimized geometry, PBE.

Cell and atoms, written as CIF:
```
data_MgSi2Ni
_chemical_formula_sum 'Mg2 Si4 Ni2'
_cell_length_a 3.809
_cell_length_b 3.809
_cell_length_c 7.777
_cell_angle_alpha 90.00
_cell_angle_beta 90.00
_cell_angle_gamma 90.00
_space_group_name_H-M_alt 'I 4/m m m'
_space_group_IT_number 139
_space_group_name_Hall '-I 4 2'
loop_
_atom_site_label
_atom_site_fract_x
_atom_site_fract_y
_atom_site_fract_z
Mg1 0.000 0.000 0.000
Si1 0.000 0.500 0.250
Ni1 0.000 0.000 0.500
```

---

no.,density of states at the Fermi level (states/eV per atom),total magnetic moment (μB/atom),ΔE_f (raw) (meV per atom)
1,0.972,0.158,-263
2,0.427,0.000,20
3,0.673,0.000,-410
4,0.211,0.000,-251
5,0.462,0.000,227
6,0.495,0.000,46
7,0.251,0.000,-311
8,0.501,0.000,-266
9,0.947,0.001,-306
10,0.636,0.000,-115
11,0.620,0.000,100
12,0.473,0.000,-123
13,0.753,0.000,-241
14,0.275,0.000,-163
15,0.489,0.000,-452
16,0.613,0.000,-66
17,0.290,0.000,-247
18,0.523,0.000,374
19,0.452,0.000,-53
20,0.465,0.000,44